1.
LiTaCo: optimized geometry, PBE.

abc: 4.040 4.040 4.040
angles: 60.00 60.00 60.00
Positions (direct):
Ta: 0.500 0.500 0.500
Co: 0.750 0.750 0.750
Li: 0.000 0.000 0.000

Properties
- E (eV/f.u.) = -19.34
- DFT formation energy (eV/atom) = 0.512
- DOS(E_F) (states/eV per atom) = 1.48
- size of the total moment (Bohr magnetons per cell) = 0.00
- excess energy over the best structure of this formula in the dataset (meV/atom) = 310

=====

2.
Rb2ReO: optimized geometry, PBE.

abc: 12.239 12.239 8.862
angles: 46.32 46.32 90.00
Positions (direct):
O: 0.500 0.500 0.000
O: 0.250 0.750 0.500
Re: 0.750 0.250 0.500
Rb: 0.424 0.125 0.250
Rb: 0.326 0.625 0.250
Re: 0.000 0.000 0.000
Rb: 0.875 0.674 0.750
Rb: 0.375 0.576 0.750

Properties
- E (eV/f.u.) = -19.19
- uncorrected formation energy (eV/atom) = 0.04
- DOS(E_F) (states/eV per atom) = 1.16
- size of the total moment (Bohr magnetons per cell) = 1.05

=====

3.
LiVInCl6: optimized geometry, PBE.

abc: 6.433 6.433 11.717
angles: 90.00 90.00 120.00
Positions (direct):
Cl: 0.645 0.658 0.130
Cl: 0.645 0.987 0.370
Cl: 0.987 0.342 0.630
In: 0.667 0.333 0.250
Cl: 0.658 0.645 0.630
V: 0.667 0.333 0.750
V: 0.333 0.667 0.250
Li: 0.000 0.000 0.000
Cl: 0.355 0.342 0.870
Cl: 0.342 0.987 0.130
In: 0.333 0.667 0.750
Cl: 0.342 0.355 0.370
Cl: 0.987 0.645 0.870
Cl: 0.013 0.658 0.370
Cl: 0.658 0.013 0.870
Cl: 0.013 0.355 0.130
Li: 0.000 0.000 0.500
Cl: 0.355 0.013 0.630

Properties
- E (eV/f.u.) = -36.16
- uncorrected formation energy (eV/atom) = -1.26
- size of the total moment (Bohr magnetons per cell) = 6.00